Run one
Crystalline ThMnBr6 at its relaxed geometry, computed with PBE-GGA.

## Properties
Its magnetization is 15.0 μB per cell.

Unit cell a=7.0372 b=7.0372 c=19.1154 alpha=90.00 beta=90.00 gamma=120.00
Last column: nearest neighbours and their distance in Å.
Space group R-3 (No. 148, hexagonal axes)
Unique sites:
Th  0.0000  0.0000  0.0000 x3  6 Br 2.86
Mn  0.0000  0.0000  0.5000 x3  6 Br 2.70
Br  0.0111  0.6519  0.2474 x18  1 Mn 2.70, 1 Th 2.86

Run two
Crystalline ThMnBr6 at its relaxed geometry, computed with PBE-GGA.

## Properties
Its magnetization is 10.0 μB per cell.

Unit cell a=7.3238 b=13.1226 c=7.0169 alpha=90.00 beta=90.00 gamma=90.00
Last column: nearest neighbours and their distance in Å.
Space group C2/m (No. 12)
Unique sites:
Th  0.0000  0.0000  0.0000 x2  6 Br 2.86
Mn  0.0000  0.0000  0.5000 x2  6 Br 2.71-2.72
Br  0.1483  0.1430  0.7344 x8  1 Mn 2.72, 1 Th 2.86
Br  0.2048  0.5000  0.7330 x4  1 Mn 2.71, 1 Th 2.86

What should be chosen as the least stable of them? Choose run one.

Run one
Crystalline Ti2MnBr at its relaxed geometry, computed with PBE-GGA.

## Properties
Its magnetization is 5.3 μB per cell.

Unit cell a=6.3510 b=6.3510 c=6.3510 alpha=90.00 beta=90.00 gamma=90.00
Last column: nearest neighbours and their distance in Å.
Space group Fm-3m (No. 225)
Unique sites:
Ti  0.2500  0.2500  0.2500 x8  4 Mn 2.75, 4 Br 2.75
Mn  0.0000  0.0000  0.0000 x4  8 Ti 2.75
Br  0.0000  0.0000  0.5000 x4  8 Ti 2.75

Run two
Crystalline Ti2MnBr at its relaxed geometry, computed with PBE-GGA.

## Properties
Its magnetization is 0.0 μB per cell.

Unit cell a=5.5334 b=5.5334 c=11.3991 alpha=90.00 beta=90.00 gamma=90.00
Last column: nearest neighbours and their distance in Å.
Space group I-42d (No. 122)
Unique sites:
Ti  0.1727  0.2500  0.1250 x8  2 Mn 2.20
Mn  0.0000  0.0000  0.0000 x4  4 Ti 2.20
Br  0.0000  0.0000  0.5000 x4  4 Ti 2.69

What should be chosen as the least stable of them? Choose run two.

Run one
Crystalline MnTlBr4 at its relaxed geometry, computed with PBE-GGA.

## Properties
Its magnetization is 4.0 μB per cell.

Unit cell a=4.0969 b=6.9574 c=8.1187 alpha=112.42 beta=90.22 gamma=98.26
Last column: nearest neighbours and their distance in Å.
Space group P-1 (No. 2)
Unique sites:
Mn  0.0000  0.0000  0.0000 x1  4 Br 2.44-2.46
Tl  0.5000  0.0000  0.5000 x1  6 Br 3.33-3.35
Br  0.0617  0.2393  0.3131 x2  1 Mn 2.44
Br  0.3489  0.7702  0.0591 x2  1 Mn 2.46

Run two
Crystalline MnTlBr4 at its relaxed geometry, computed with PBE-GGA.

## Properties
Its magnetization is 16.7 μB per cell.

Unit cell a=9.2148 b=9.2148 c=9.2148 alpha=90.00 beta=90.00 gamma=90.00
Last column: nearest neighbours and their distance in Å.
Space group F-43m (No. 216)
Unique sites:
Mn  0.0000  0.0000  0.0000 x4  12 Br 3.82, 4 Tl 3.99
Tl  0.2500  0.2500  0.7500 x4  12 Br 3.82, 4 Mn 3.99
Br  0.1256  0.1256  0.3744 x16  6 Br 3.24-3.27

Run three
Crystalline MnTlBr4 at its relaxed geometry, computed with PBE-GGA.

## Properties
Its magnetization is 16.0 μB per cell.

Unit cell a=15.7440 b=5.4181 c=11.2947 alpha=90.00 beta=107.61 gamma=90.00
Last column: nearest neighbours and their distance in Å.
Space group C2/m (No. 12)
Unique sites:
Mn  0.1073  0.0000  0.1364 x4  6 Br 2.44-2.71
Tl  0.2082  0.0000  0.6791 x4  4 Br 3.05-3.39
Br  0.0584  0.0000  0.8973 x4  2 Mn 2.52-2.57
Br  0.1047  0.5000  0.1360 x4  2 Mn 2.71
Br  0.1420  0.0000  0.3642 x4  1 Mn 2.46
Br  0.2360  0.5000  0.8565 x4  1 Mn 2.44

What should be chosen as the least stable of them? Choose run two.

Run one
Crystalline Mn2TlBr at its relaxed geometry, computed with PBE-GGA.

## Properties
Its magnetization is 8.0 μB per cell.

Unit cell a=3.3431 b=3.3431 c=8.2760 alpha=90.00 beta=90.00 gamma=90.00
Last column: nearest neighbours and their distance in Å.
Space group P4mm (No. 99)
Unique sites:
Mn  0.0000  0.0000  0.0000 x1  4 Br 2.75, 4 Mn 2.81
Mn  0.5000  0.5000  0.1831 x1  4 Mn 2.81, 1 Br 2.92, 4 Tl 3.00
Tl  0.0000  0.0000  0.4066 x1  4 Mn 3.00, 4 Tl 3.34
Br  0.5000  0.5000  0.8299 x1  5 Mn 2.75-2.92

Run two
Crystalline Mn2TlBr at its relaxed geometry, computed with PBE-GGA.

## Properties
Its magnetization is 8.2 μB per cell.

Unit cell a=3.2693 b=3.2693 c=7.7504 alpha=90.00 beta=90.00 gamma=90.00
Last column: nearest neighbours and their distance in Å.
Space group P4/mmm (No. 123)
Unique sites:
Mn  0.0000  0.0000  0.2503 x2  4 Br 3.01, 4 Tl 3.02, 4 Mn 3.27
Tl  0.5000  0.5000  0.0000 x1  8 Mn 3.02, 4 Tl 3.27
Br  0.5000  0.5000  0.5000 x1  8 Mn 3.01, 4 Br 3.27

Run three
Crystalline Mn2TlBr at its relaxed geometry, computed with PBE-GGA.

## Properties
Its magnetization is 25.5 μB per cell.

Unit cell a=3.4809 b=3.4809 c=24.4986 alpha=90.00 beta=90.00 gamma=120.00
Last column: nearest neighbours and their distance in Å.
Space group R-3m (No. 166, hexagonal axes)
Unique sites:
Mn  0.0000  0.0000  0.2476 x6  3 Br 2.82, 3 Tl 2.91
Tl  0.0000  0.0000  0.0000 x3  6 Mn 2.91
Br  0.0000  0.0000  0.5000 x3  6 Mn 2.82

Run four
Crystalline Mn2TlBr at its relaxed geometry, computed with PBE-GGA.

## Properties
Its magnetization is 7.5 μB per cell.

Unit cell a=3.9998 b=3.3518 c=6.8440 alpha=90.00 beta=90.06 gamma=90.00
Last column: nearest neighbours and their distance in Å.
Space group P2/m (No. 10)
Unique sites:
Mn  0.0007  0.0000  0.1923 x2  1 Mn 2.63, 2 Br 2.69, 4 Tl 2.92
Tl  0.5000  0.5000  0.0000 x1  8 Mn 2.92
Br  0.0000  0.5000  0.5000 x1  4 Mn 2.69

What should be chosen as the least stable of them? Choose run two.

Run one
Crystalline Mn2TlBr at its relaxed geometry, computed with PBE-GGA.

## Properties
Its magnetization is 17.0 μB per cell.

Unit cell a=6.2806 b=8.0286 c=3.3728 alpha=90.00 beta=90.00 gamma=90.00
Last column: nearest neighbours and their distance in Å.
Space group Cmmm (No. 65)
Unique sites:
Mn  0.2500  0.2500  0.0000 x4  4 Tl 3.06, 4 Br 3.06, 4 Mn 3.14-3.37
Tl  0.0000  0.0000  0.5000 x2  8 Mn 3.06, 2 Br 3.14, 2 Tl 3.37
Br  0.0000  0.5000  0.5000 x2  8 Mn 3.06, 2 Tl 3.14, 2 Br 3.37

Run two
Crystalline Mn2TlBr at its relaxed geometry, computed with PBE-GGA.

## Properties
Its magnetization is 15.1 μB per cell.

Unit cell a=13.0697 b=3.2576 c=4.6960 alpha=90.00 beta=90.06 gamma=90.00
Last column: nearest neighbours and their distance in Å.
Space group Cm (No. 8)
Unique sites:
Mn  0.0000  0.0000  0.0000 x2  2 Mn 2.72, 2 Br 2.86, 4 Tl 2.91
Mn  0.1671  0.5000  0.0002 x2  2 Br 2.58, 2 Mn 2.72, 2 Tl 2.85
Tl  0.0431  0.5000  0.5000 x2  6 Mn 2.85-2.91
Br  0.3200  0.0000  0.9996 x2  4 Mn 2.58-2.86

Run three
Crystalline Mn2TlBr at its relaxed geometry, computed with PBE-GGA.

## Properties
Its magnetization is 8.2 μB per cell.

Unit cell a=3.2905 b=4.7762 c=5.6078 alpha=90.00 beta=90.00 gamma=90.00
Last column: nearest neighbours and their distance in Å.
Space group Pmmm (No. 47)
Unique sites:
Mn  0.0000  0.0000  0.0000 x1  4 Br 2.90
Mn  0.5000  0.0000  0.5000 x1  4 Tl 2.90
Tl  0.0000  0.5000  0.5000 x1  4 Mn 2.90
Br  0.5000  0.5000  0.0000 x1  4 Mn 2.90

Run four
Crystalline Mn2TlBr at its relaxed geometry, computed with PBE-GGA.

## Properties
Its magnetization is 16.4 μB per cell.

Unit cell a=6.7009 b=7.9381 c=3.3981 alpha=90.00 beta=107.12 gamma=90.00
Last column: nearest neighbours and their distance in Å.
Space group C2/m (No. 12)
Unique sites:
Mn  0.2500  0.2500  0.0000 x4  2 Tl 2.82, 2 Br 2.82
Tl  0.0000  0.0000  0.5000 x2  4 Mn 2.82
Br  0.0000  0.5000  0.5000 x2  4 Mn 2.82

What should be chosen as the least stable of them? Choose run one.

Run one
Crystalline Mn2TlBr at its relaxed geometry, computed with PBE-GGA.

## Properties
Its magnetization is 15.8 μB per cell.

Unit cell a=3.2383 b=4.6262 c=11.9352 alpha=90.00 beta=90.00 gamma=90.00
Last column: nearest neighbours and their distance in Å.
Space group Imm2 (No. 44)
Unique sites:
Mn  0.0000  0.0000  0.0000 x2  2 Mn 2.79, 2 Tl 2.98
Mn  0.0000  0.5000  0.3098 x2  2 Mn 2.79, 2 Br 2.82, 4 Tl 2.85
Tl  0.0000  0.5000  0.8429 x2  6 Mn 2.85-2.98
Br  0.0000  0.0000  0.6167 x2  6 Mn 2.82-3.15

Run two
Crystalline Mn2TlBr at its relaxed geometry, computed with PBE-GGA.

## Properties
Its magnetization is 16.5 μB per cell.

Unit cell a=3.4743 b=5.8627 c=8.6294 alpha=90.00 beta=90.00 gamma=90.00
Last column: nearest neighbours and their distance in Å.
Space group Cmmm (No. 65)
Unique sites:
Mn  0.0000  0.0000  0.2423 x4  2 Br 2.72, 2 Tl 2.82
Tl  0.0000  0.5000  0.5000 x2  4 Mn 2.82
Br  0.0000  0.5000  0.0000 x2  4 Mn 2.72

What should be chosen as the least stable of them? Choose run two.

Run one
Crystalline Mn2TlBr at its relaxed geometry, computed with PBE-GGA.

## Properties
Its magnetization is 35.7 μB per cell.

Unit cell a=7.2952 b=7.2952 c=7.2952 alpha=90.00 beta=90.00 gamma=90.00
Last column: nearest neighbours and their distance in Å.
Space group F-43m (No. 216)
Unique sites:
Mn  0.0000  0.0000  0.0000 x4  4 Mn 3.16, 4 Br 3.16
Mn  0.2500  0.2500  0.2500 x4  4 Tl 3.16, 4 Mn 3.16
Tl  0.0000  0.0000  0.5000 x4  4 Br 3.16, 4 Mn 3.16
Br  0.2500  0.2500  0.7500 x4  4 Mn 3.16, 4 Tl 3.16

Run two
Crystalline Mn2TlBr at its relaxed geometry, computed with PBE-GGA.

## Properties
Its magnetization is 16.5 μB per cell.

Unit cell a=3.9679 b=3.9679 c=11.1824 alpha=90.00 beta=90.00 gamma=90.00
Last column: nearest neighbours and their distance in Å.
Space group I-4m2 (No. 119)
Unique sites:
Mn  0.0000  0.0000  0.0000 x2  4 Br 2.81
Mn  0.0000  0.5000  0.2500 x2  4 Tl 2.81
Tl  0.0000  0.5000  0.7500 x2  4 Mn 2.81
Br  0.0000  0.0000  0.5000 x2  4 Mn 2.81

Run three
Crystalline Mn2TlBr at its relaxed geometry, computed with PBE-GGA.

## Properties
Its magnetization is 7.7 μB per cell.

Unit cell a=3.2442 b=4.6905 c=5.8796 alpha=90.00 beta=105.68 gamma=90.00
Last column: nearest neighbours and their distance in Å.
Space group Pm (No. 6)
Unique sites:
Mn  0.0000  0.0000  0.0000 x1  2 Br 2.67-2.68
Mn  0.3837  0.5000  0.7684 x1  2 Br 2.48, 1 Tl 2.77
Tl  0.6317  0.5000  0.2569 x1  1 Mn 2.77
Br  0.3140  0.0000  0.6242 x1  4 Mn 2.48-2.68

Run four
Crystalline Mn2TlBr at its relaxed geometry, computed with PBE-GGA.

## Properties
Its magnetization is 32.5 μB per cell.

Unit cell a=7.4745 b=7.4745 c=6.4060 alpha=90.00 beta=90.00 gamma=90.00
Last column: nearest neighbours and their distance in Å.
Space group I-42d (No. 122)
Unique sites:
Mn  0.2320  0.2500  0.1250 x8  2 Br 2.67, 2 Tl 2.85
Tl  0.0000  0.0000  0.5000 x4  4 Mn 2.85
Br  0.0000  0.0000  0.0000 x4  4 Mn 2.67

What should be chosen as the least stable of them? Choose run one.

Run one
Crystalline Mn2TlBr at its relaxed geometry, computed with PBE-GGA.

## Properties
Its magnetization is 8.1 μB per cell.

Unit cell a=5.1505 b=5.1505 c=3.1683 alpha=90.00 beta=90.00 gamma=90.00
Last column: nearest neighbours and their distance in Å.
Space group P4/mmm (No. 123)
Unique sites:
Mn  0.0000  0.5000  0.0000 x2  4 Br 3.02, 4 Tl 3.02, 2 Mn 3.17
Tl  0.0000  0.0000  0.5000 x1  8 Mn 3.02, 2 Tl 3.17
Br  0.5000  0.5000  0.5000 x1  8 Mn 3.02, 2 Br 3.17

Run two
Crystalline Mn2TlBr at its relaxed geometry, computed with PBE-GGA.

## Properties
Its magnetization is 14.9 μB per cell.

Unit cell a=9.6136 b=3.2418 c=7.9081 alpha=90.00 beta=125.96 gamma=90.00
Last column: nearest neighbours and their distance in Å.
Space group C2/m (No. 12)
Unique sites:
Mn  0.1455  0.0000  0.3338 x4  2 Br 2.69, 2 Mn 2.71, 3 Tl 2.84-2.91
Tl  0.0000  0.5000  0.5000 x2  6 Mn 2.84-2.91
Br  0.0000  0.5000  0.0000 x2  4 Mn 2.69

Run three
Crystalline Mn2TlBr at its relaxed geometry, computed with PBE-GGA.

## Properties
Its magnetization is 30.6 μB per cell.

Unit cell a=6.9163 b=6.9163 c=6.9163 alpha=90.00 beta=90.00 gamma=90.00
Last column: nearest neighbours and their distance in Å.
Space group Fm-3m (No. 225)
Unique sites:
Mn  0.2500  0.2500  0.2500 x8  4 Br 2.99, 4 Tl 2.99
Tl  0.0000  0.0000  0.0000 x4  8 Mn 2.99
Br  0.0000  0.0000  0.5000 x4  8 Mn 2.99

What should be chosen as the least stable of them? Choose run three.

Run one
Crystalline MnTlBr at its relaxed geometry, computed with PBE-GGA.

## Properties
Its magnetization is 8.8 μB per cell.

Unit cell a=3.4349 b=3.4349 c=13.2703 alpha=90.00 beta=90.00 gamma=90.00
Last column: nearest neighbours and their distance in Å.
Space group I4mm (No. 107)
Unique sites:
Mn  0.0000  0.0000  0.0000 x2  4 Br 2.82, 4 Tl 3.11
Tl  0.0000  0.0000  0.6468 x2  4 Mn 3.11, 1 Br 3.37, 4 Tl 3.43
Br  0.0000  0.0000  0.3925 x2  4 Mn 2.82

Run two
Crystalline MnTlBr at its relaxed geometry, computed with PBE-GGA.

## Properties
Its magnetization is 4.4 μB per cell.

Unit cell a=3.5877 b=3.5877 c=7.3690 alpha=90.00 beta=90.00 gamma=120.00
Last column: nearest neighbours and their distance in Å.
Space group P3m1 (No. 156)
Unique sites:
Mn  0.0000  0.0000  0.0000 x1  3 Br 2.62
Tl  0.6667  0.3333  0.2968 x1  3 Mn 3.01
Br  0.3333  0.6667  0.7830 x1  3 Mn 2.62

Run three
Crystalline MnTlBr at its relaxed geometry, computed with PBE-GGA.

## Properties
Its magnetization is 16.9 μB per cell.

Unit cell a=6.9350 b=6.9350 c=6.9350 alpha=90.00 beta=90.00 gamma=90.00
Last column: nearest neighbours and their distance in Å.
Space group F-43m (No. 216)
Unique sites:
Mn  0.0000  0.0000  0.0000 x4  4 Br 3.00, 4 Tl 3.00
Tl  0.2500  0.2500  0.2500 x4  4 Mn 3.00
Br  0.2500  0.2500  0.7500 x4  4 Mn 3.00

What should be chosen as the least stable of them? Choose run three.

Run one
Crystalline MnTlBr at its relaxed geometry, computed with PBE-GGA.

## Properties
Its magnetization is 18.7 μB per cell.

Unit cell a=3.8313 b=5.8800 c=15.2764 alpha=90.00 beta=90.00 gamma=90.00
Last column: nearest neighbours and their distance in Å.
Space group Fmm2 (No. 42)
Unique sites:
Mn  0.0000  0.0000  0.0000 x4  2 Br 2.56
Tl  0.0000  0.0000  0.6505 x4  2 Mn 2.99
Br  0.0000  0.0000  0.3893 x4  2 Mn 2.56

Run two
Crystalline MnTlBr at its relaxed geometry, computed with PBE-GGA.

## Properties
Its magnetization is 4.5 μB per cell.

Unit cell a=4.8262 b=4.8262 c=3.8787 alpha=90.00 beta=90.00 gamma=120.00
Last column: nearest neighbours and their distance in Å.
Space group P3m1 (No. 156)
Unique sites:
Mn  0.0000  0.0000  0.0000 x1  3 Br 2.79
Tl  0.3333  0.6667  0.5006 x1  6 Br 3.39-3.40, 6 Mn 3.39-3.40
Br  0.6667  0.3333  0.0013 x1  3 Mn 2.79

What should be chosen as the least stable of them? Choose run two.